No. 1
Compound: ErPa3As4
Source: Alexandria
Functional: PBE
Structure: optimized geometry Values from VASP.

Structure (Quantum ESPRESSO input):
```
&SYSTEM
  ibrav = 0, nat = 16, ntyp = 3
/
ATOMIC_SPECIES
Er 167.26 Er.upf
Pa 231.04 Pa.upf
As 74.92 As.upf
CELL_PARAMETERS angstrom
7.0787 0.0000 0.0000
0.0000 8.1911 0.0000
-2.3698 0.0000 6.6654
ATOMIC_POSITIONS crystal
Er 0.0000 0.1238 0.2500
Er 0.0000 0.8762 0.7500
Pa 0.0000 0.3753 0.7500
Pa 0.0000 0.6247 0.2500
Pa 0.5000 0.1260 0.7500
Pa 0.5000 0.3763 0.2500
Pa 0.5000 0.6237 0.7500
Pa 0.5000 0.8740 0.2500
As 0.2473 0.3724 0.4975
As 0.2473 0.6276 0.9975
As 0.2489 0.1239 0.0006
As 0.2489 0.8761 0.5006
As 0.7511 0.1239 0.4994
As 0.7511 0.8761 0.9994
As 0.7527 0.3724 0.0025
As 0.7527 0.6276 0.5025
```

Summary:
**M_tot**: 0.0 μB per cell
**E_tot**: -7.61 eV/atom

No. 2
Compound: ErPa2As
Source: Alexandria
Functional: PBE
Structure: optimized geometry Values from VASP.

Structure (Quantum ESPRESSO input):
```
&SYSTEM
  ibrav = 0, nat = 4, ntyp = 3
/
ATOMIC_SPECIES
Er 167.26 Er.upf
Pa 231.04 Pa.upf
As 74.92 As.upf
CELL_PARAMETERS angstrom
1.7062 0.9851 10.4888
-1.7062 0.9851 10.4888
0.0000 -1.9702 10.4888
ATOMIC_POSITIONS crystal
Er 0.0000 0.0000 0.0000
Pa 0.1008 0.1008 0.1008
Pa 0.8992 0.8992 0.8992
As 0.5000 0.5000 0.5000
```

Summary:
**M_tot**: 0.0 μB per cell
**E_tot**: -7.02 eV/atom

No. 3
Compound: Er4PaAs5
Source: Alexandria
Functional: PBE
Structure: optimized geometry Values from VASP.

Structure (Quantum ESPRESSO input):
```
&SYSTEM
  ibrav = 0, nat = 10, ntyp = 3
/
ATOMIC_SPECIES
Er 167.26 Er.upf
Pa 231.04 Pa.upf
As 74.92 As.upf
CELL_PARAMETERS angstrom
-4.5597 4.5597 2.8878
4.5597 -4.5597 2.8878
4.5597 4.5597 -2.8878
ATOMIC_POSITIONS crystal
Er 0.0996 0.3020 0.4015
Er 0.3020 0.9004 0.2024
Er 0.6980 0.0996 0.7976
Er 0.9004 0.6980 0.5985
Pa 0.5000 0.5000 0.0000
As 0.0000 0.0000 0.0000
As 0.2024 0.5989 0.8012
As 0.4011 0.2024 0.6035
As 0.5989 0.7976 0.3965
As 0.7976 0.4011 0.1988
```

Summary:
**M_tot**: 0.3 μB per cell
**E_tot**: -6.53 eV/atom

No. 4
Compound: Pm3Er2PaAs6
Source: Alexandria
Functional: PBE
Structure: optimized geometry Values from VASP.

Structure (Quantum ESPRESSO input):
```
&SYSTEM
  ibrav = 0, nat = 12, ntyp = 4
/
ATOMIC_SPECIES
Pm 145.00 Pm.upf
Er 167.26 Er.upf
Pa 231.04 Pa.upf
As 74.92 As.upf
CELL_PARAMETERS angstrom
3.5941 -6.2256 0.0000
3.5941 6.2256 0.0000
-2.3920 0.0000 6.8114
ATOMIC_POSITIONS crystal
Pm 0.0000 0.0000 0.0000
Pm 0.3322 0.6678 0.0000
Pm 0.6678 0.3322 0.0000
Er 0.1663 0.8337 0.5000
Er 0.8337 0.1663 0.5000
Pa 0.5000 0.5000 0.5000
As 0.0906 0.4207 0.2615
As 0.2497 0.2497 0.7380
As 0.4207 0.0906 0.2615
As 0.5793 0.9094 0.7385
As 0.7503 0.7503 0.2620
As 0.9094 0.5793 0.7385
```

Summary:
**M_tot**: 0.0 μB per cell
**E_tot**: -6.52 eV/atom

No. 5
Compound: Pr2ErPaAs4
Source: Alexandria
Functional: PBE
Structure: optimized geometry Values from VASP.

Structure (Quantum ESPRESSO input):
```
&SYSTEM
  ibrav = 0, nat = 8, ntyp = 4
/
ATOMIC_SPECIES
Pr 140.91 Pr.upf
Er 167.26 Er.upf
Pa 231.04 Pa.upf
As 74.92 As.upf
CELL_PARAMETERS angstrom
7.2216 0.0000 0.0000
0.0000 4.1948 0.0000
-2.4230 0.0000 6.8798
ATOMIC_POSITIONS crystal
Pr 0.0000 0.0000 0.0000
Pr 0.5000 0.5000 0.0000
Er 0.0000 0.5000 0.5000
Pa 0.5000 0.0000 0.5000
As 0.2474 0.0000 0.7332
As 0.2568 0.5000 0.2667
As 0.7432 0.5000 0.7333
As 0.7526 0.0000 0.2668
```

Summary:
**M_tot**: 0.0 μB per cell
**E_tot**: -6.68 eV/atom

No. 6
Compound: Pr3Er2PaAs6
Source: Alexandria
Functional: PBE
Structure: optimized geometry Values from VASP.

Structure (Quantum ESPRESSO input):
```
&SYSTEM
  ibrav = 0, nat = 12, ntyp = 4
/
ATOMIC_SPECIES
Pr 140.91 Pr.upf
Er 167.26 Er.upf
Pa 231.04 Pa.upf
As 74.92 As.upf
CELL_PARAMETERS angstrom
3.6216 -6.2732 0.0000
3.6216 6.2732 0.0000
-2.4101 0.0000 6.8798
ATOMIC_POSITIONS crystal
Pr 0.0000 0.0000 0.0000
Pr 0.3322 0.6678 0.0000
Pr 0.6678 0.3322 0.0000
Er 0.1663 0.8337 0.5000
Er 0.8337 0.1663 0.5000
Pa 0.5000 0.5000 0.5000
As 0.0925 0.4222 0.2661
As 0.2486 0.2486 0.7335
As 0.4222 0.0925 0.2661
As 0.5778 0.9075 0.7339
As 0.7514 0.7514 0.2665
As 0.9075 0.5778 0.7339
```

Summary:
**M_tot**: 0.0 μB per cell
**E_tot**: -6.52 eV/atom

What is the M_tot in the third record?
0.3 μB per cell